DFT (GGA-PBE) results for a relaxed structure of V2BCCl.

abc: 4.163 3.675 4.163
angles: 90.00 90.00 90.00
Sites, in units of the cell vectors:
C (0.500, 0.500, 0.500)
Cl (0.000, 0.500, 0.000)
B (0.000, 0.000, 0.000)
V (0.000, 0.000, 0.500)
V (0.500, 0.000, 0.000)

Space group ... P4/mmm (123)
Formation energy from raw total energies ... 8.14 eV/f.u.
D(E_F) ... 0.685 states/eV/atom